Record 1
Here is a geometry-optimized SrZrCu2 structure from the Alexandria database. Energies are from PBE-GGA.

abc: 6.062 6.062 6.062
angles: 149.71 132.41 57.46
Fractional coordinates of all 4 atoms:
Sr  0.517  0.517  0.000
Cu  0.788  0.288  0.500
Cu  0.974  0.974  0.000
Zr  0.221  0.721  0.500

relative energy among the computed polymorphs	1.097	eV/f.u.
symmetry	Imm2
calculated total energy	-4.34	eV per atom


Record 2
Here is a geometry-optimized SrZr2Cu structure from the Alexandria database. Energies are from PBE-GGA.

abc: 5.049 5.049 10.500
angles: 76.09 76.09 90.00
Fractional coordinates of all 8 atoms:
Sr  0.000  0.000  0.000
Sr  0.750  0.250  0.500
Cu  0.250  0.750  0.500
Cu  0.500  0.500  0.000
Zr  0.340  0.625  0.250
Zr  0.410  0.125  0.250
Zr  0.875  0.660  0.750
Zr  0.375  0.590  0.750

relative energy among the computed polymorphs	2.901	eV/f.u.
symmetry	I-42d
calculated total energy	-4.90	eV per atom


Record 3
Here is a geometry-optimized TaCu structure from the Alexandria database. Energies are from PBE-GGA.

abc: 2.815 2.815 9.143
angles: 90.00 90.00 120.00
Fractional coordinates of all 4 atoms:
Ta  0.000  0.000  0.483
Ta  0.667  0.333  0.767
Cu  0.000  0.000  0.015
Cu  0.667  0.333  0.235

symmetry	P-3m1
calculated total energy	-7.74	eV per atom


Record 4
Here is a geometry-optimized Ta7Cu structure from the Alexandria database. Energies are from PBE-GGA.

abc: 5.881 5.881 5.881
angles: 60.00 60.00 60.00
Fractional coordinates of all 8 atoms:
Ta  0.000  0.000  0.500
Ta  0.500  0.500  0.500
Ta  0.500  0.000  0.500
Ta  0.000  0.500  0.000
Ta  0.500  0.000  0.000
Ta  0.500  0.500  0.000
Ta  0.000  0.500  0.500
Cu  0.000  0.000  0.000

symmetry	Fm-3m
calculated total energy	-10.66	eV per atom


Record 5
Here is a geometry-optimized Ta2Cu structure from the Alexandria database. Energies are from PBE-GGA.

abc: 7.974 7.974 4.732
angles: 90.00 90.00 160.61
Fractional coordinates of all 6 atoms:
Ta  0.631  0.369  0.250
Ta  0.369  0.631  0.750
Ta  0.950  0.050  0.250
Ta  0.050  0.950  0.750
Cu  0.284  0.716  0.250
Cu  0.716  0.284  0.750

symmetry	Cmcm
calculated total energy	-9.03	eV per atom


Record 6
Here is a geometry-optimized Ta2Cu structure from the Alexandria database. Energies are from PBE-GGA.

abc: 4.654 4.654 2.706
angles: 90.00 90.00 120.00
Fractional coordinates of all 3 atoms:
Ta  0.333  0.667  0.000
Ta  0.667  0.333  0.000
Cu  0.000  0.000  0.500

symmetry	P6/mmm
calculated total energy	-8.73	eV per atom


| no. | calculated formation energy (eV per atom) | total magnetic moment (μB/f.u.) |
| --- | --- | --- |
| 1 | 0.27 | 0.0 |
| 2 | 0.82 | 0.0 |
| 3 | 0.23 | 0.0 |
| 4 | 0.23 | 0.0 |
| 5 | 0.24 | 0.0 |
| 6 | 0.54 | 0.0 |